# 1
Below is a relaxed SrTeSe2 crystal, with properties calculated at the PBE-GGA level.

abc: 4.7277 4.7277 18.3118
angles: 90.00 90.00 120.00
Space group R-3m (No. 166, hexagonal axes)
Inequivalent atoms, fractional coordinates:
1 Sr 0.0000 0.0000 0.0000 (multiplicity 3)
2 Te 0.0000 0.0000 0.5000 (multiplicity 3)
3 Se 0.0000 0.0000 0.2423 (multiplicity 6)

Values from the calculation:
- E_form (uncorrected): -0.7054 eV/atom
- Volume: 29.54 Å³/atom
- M_tot: 0.00 μB/f.u.

# 2
Below is a relaxed CdSn5Pd4 crystal, with properties calculated at the PBE-GGA level.

abc: 13.7879 4.6027 6.7304
angles: 90.00 91.98 90.00
Space group C2/m (No. 12)
Inequivalent atoms, fractional coordinates:
1 Cd 0.0000 0.0000 0.0000 (multiplicity 2)
2 Sn 0.0000 0.0000 0.5000 (multiplicity 2)
3 Sn 0.1666 0.5000 0.0089 (multiplicity 4)
4 Sn 0.1704 0.5000 0.4899 (multiplicity 4)
5 Pd 0.0008 0.5000 0.2488 (multiplicity 4)
6 Pd 0.1636 0.0000 0.7517 (multiplicity 4)

Values from the calculation:
- Formation enthalpy at 0 K: -0.379 eV/atom
- Volume: 21.34 Å³/atom
- M_tot: 0.00 μB/f.u.

# 3
Below is a relaxed BiAs2P crystal, with properties calculated at the PBE-GGA level.

abc: 5.7284 5.7284 14.0681
angles: 90.00 90.00 90.00
Space group I-42d (No. 122)
Inequivalent atoms, fractional coordinates:
1 Bi 0.0000 0.0000 0.0000 (multiplicity 4)
2 As 0.1814 0.2500 0.6250 (multiplicity 8)
3 P 0.0000 0.0000 0.5000 (multiplicity 4)

Values from the calculation:
- Formation enthalpy at 0 K: 0.303 eV/atom
- Volume: 28.85 Å³/atom
- M_tot: 0.00 μB/f.u.
- E above lowest polymorph: 0.0 meV/atom